Entry from Alexandria: an optimized crystal structure of Tb2Nd4DySc (PBE).

Values from the calculation:
Crystal system: orthorhombic

Cell and atoms, written as CIF:
```
data_Tb2Nd4DySc
_chemical_formula_sum 'Tb2 Nd4 Dy1 Sc1'
_cell_length_a 5.0948
_cell_length_b 5.1095
_cell_length_c 9.9679
_cell_angle_alpha 90.00
_cell_angle_beta 90.00
_cell_angle_gamma 90.00
_symmetry_space_group_name_H-M 'P m m m'
_symmetry_Int_Tables_number 47
loop_
_symmetry_equiv_pos_as_xyz
'x,y,z'
'-x,-y,-z'
'-x,-y,z'
'x,y,-z'
'x,-y,-z'
'-x,y,z'
'-x,y,-z'
'x,-y,z'
loop_
_atom_site_label
_atom_site_type_symbol
_atom_site_fract_x
_atom_site_fract_y
_atom_site_fract_z
Tb1 Tb 0.0000 0.0000 0.0000
Tb2 Tb 0.5000 0.5000 0.5000
Nd1 Nd 0.0000 0.5000 0.2447
Nd2 Nd 0.5000 0.0000 0.2451
Dy1 Dy 0.0000 0.0000 0.5000
Sc1 Sc 0.5000 0.5000 0.0000
```

Entry from Alexandria: an optimized crystal structure of Tb2Zn3Co2 (PBE).

Values from the calculation:
Crystal system: monoclinic

Cell and atoms, written as CIF:
```
data_Tb2Zn3Co2
_chemical_formula_sum 'Tb4 Zn6 Co4'
_cell_length_a 9.6654
_cell_length_b 4.1924
_cell_length_c 6.3218
_cell_angle_alpha 90.00
_cell_angle_beta 104.38
_cell_angle_gamma 90.00
_symmetry_space_group_name_H-M 'C 1 2/m 1'
_symmetry_Int_Tables_number 12
loop_
_symmetry_equiv_pos_as_xyz
'x,y,z'
'-x,-y,-z'
'-x,y,-z'
'x,-y,z'
'x+1/2,y+1/2,z'
'-x+1/2,-y+1/2,-z'
'-x+1/2,y+1/2,-z'
'x+1/2,-y+1/2,z'
loop_
_atom_site_label
_atom_site_type_symbol
_atom_site_fract_x
_atom_site_fract_y
_atom_site_fract_z
Tb1 Tb 0.1213 0.0000 0.3468
Zn1 Zn 0.0000 0.5000 0.0000
Zn2 Zn 0.2017 0.0000 0.8732
Co1 Co 0.0814 0.5000 0.6621
```

Entry from Alexandria: an optimized crystal structure of Na3CaTl7 (PBE).

Values from the calculation:
Crystal system: monoclinic

Cell and atoms, written as CIF:
```
data_Na3CaTl7
_chemical_formula_sum 'Na6 Ca2 Tl14'
_cell_length_a 10.8320
_cell_length_b 10.7994
_cell_length_c 6.4388
_cell_angle_alpha 90.00
_cell_angle_beta 112.25
_cell_angle_gamma 90.00
_symmetry_space_group_name_H-M 'C 1 2/m 1'
_symmetry_Int_Tables_number 12
loop_
_symmetry_equiv_pos_as_xyz
'x,y,z'
'-x,-y,-z'
'-x,y,-z'
'x,-y,z'
'x+1/2,y+1/2,z'
'-x+1/2,-y+1/2,-z'
'-x+1/2,y+1/2,-z'
'x+1/2,-y+1/2,z'
loop_
_atom_site_label
_atom_site_type_symbol
_atom_site_fract_x
_atom_site_fract_y
_atom_site_fract_z
Na1 Na 0.0000 0.0000 0.0000
Na2 Na 0.0000 0.2091 0.5000
Ca1 Ca 0.0000 0.5000 0.0000
Tl1 Tl 0.0000 0.5000 0.5000
Tl2 Tl 0.1864 0.2350 0.1848
Tl3 Tl 0.2169 0.0000 0.5363
```

Entry from Alexandria: an optimized crystal structure of Ca3AcMg4 (PBE).

Values from the calculation:
Crystal system: tetragonal

Cell and atoms, written as CIF:
```
data_Ca3AcMg4
_chemical_formula_sum 'Ca3 Ac1 Mg4'
_cell_length_a 5.7399
_cell_length_b 5.7399
_cell_length_c 7.8191
_cell_angle_alpha 90.00
_cell_angle_beta 90.00
_cell_angle_gamma 90.00
_symmetry_space_group_name_H-M 'P 4/m m m'
_symmetry_Int_Tables_number 123
_symmetry_space_group_name_Hall '-P 4 2'
loop_
_atom_site_label
_atom_site_type_symbol
_atom_site_fract_x
_atom_site_fract_y
_atom_site_fract_z
Ca1 Ca 0.0000 0.0000 0.0000
Ca2 Ca 0.0000 0.0000 0.5000
Ca3 Ca 0.5000 0.5000 0.0000
Ac1 Ac 0.5000 0.5000 0.5000
Mg1 Mg 0.0000 0.5000 0.2415
```

| no. | E_form (kcal/mol of atoms) | ρ (g/cm³) |
| --- | --- | --- |
| 1 | 0.6 | 7.1 |
| 2 | -5.7 | 8.5 |
| 3 | -1.2 | 7.3 |
| 4 | -1.9 | 2.9 |